First-principles (PBE) data for Nd6Ni2AuI3 after structural relaxation, as listed in Alexandria via LeMat-Bulk.

## Properties
Raw formation energy (meV per atom): -720

a = 7.3366 Å, b = 12.6860 Å, c = 8.4010 Å
α = 90.00°, β = 106.97°, γ = 90.00°
Space group C2/m (No. 12)
Asymmetric unit:
Nd: 0.2069 0.0000 0.1858 (multiplicity 4)
Nd: 0.2398 0.3225 0.1869 (multiplicity 8)
Ni: 0.0000 0.1668 0.0000 (multiplicity 4)
Au: 0.0000 0.5000 0.0000 (multiplicity 2)
I: 0.0000 0.0000 0.5000 (multiplicity 2)
I: 0.0000 0.3356 0.5000 (multiplicity 4)

=====

First-principles (PBE) data for Nd4OsAuI2 after structural relaxation, as listed in Alexandria via LeMat-Bulk.

## Properties
Raw formation energy (meV per atom): -746

a = 7.4583 Å, b = 4.2761 Å, c = 8.4822 Å
α = 90.00°, β = 107.02°, γ = 90.00°
Space group P2/m (No. 10)
Asymmetric unit:
Nd: 0.2145 0.0000 0.1870 (multiplicity 2)
Nd: 0.2452 0.5000 0.8097 (multiplicity 2)
Os: 0.0000 0.5000 0.0000 (multiplicity 1)
Au: 0.5000 0.0000 0.0000 (multiplicity 1)
I: 0.0000 0.0000 0.5000 (multiplicity 1)
I: 0.5000 0.5000 0.5000 (multiplicity 1)

=====

First-principles (PBE) data for Nd4PAuI2 after structural relaxation, as listed in Alexandria via LeMat-Bulk.

## Properties
Raw formation energy (meV per atom): -1074

a = 7.6276 Å, b = 4.2112 Å, c = 8.0216 Å
α = 90.00°, β = 106.90°, γ = 90.00°
Space group P2/m (No. 10)
Asymmetric unit:
Nd: 0.2174 0.0000 0.1983 (multiplicity 2)
Nd: 0.2630 0.5000 0.7980 (multiplicity 2)
P: 0.0000 0.5000 0.0000 (multiplicity 1)
Au: 0.5000 0.0000 0.0000 (multiplicity 1)
I: 0.0000 0.0000 0.5000 (multiplicity 1)
I: 0.5000 0.5000 0.5000 (multiplicity 1)

=====

First-principles (PBE) data for Nd6Pt2AuI3 after structural relaxation, as listed in Alexandria via LeMat-Bulk.

## Properties
Raw formation energy (meV per atom): -1025

a = 7.4556 Å, b = 12.9050 Å, c = 8.4473 Å
α = 90.00°, β = 107.12°, γ = 90.00°
Space group C2/m (No. 12)
Asymmetric unit:
Nd: 0.2185 0.0000 0.1908 (multiplicity 4)
Nd: 0.2365 0.3275 0.1916 (multiplicity 8)
Pt: 0.0000 0.1669 0.0000 (multiplicity 4)
Au: 0.0000 0.5000 0.0000 (multiplicity 2)
I: 0.0000 0.0000 0.5000 (multiplicity 2)
I: 0.0000 0.3350 0.5000 (multiplicity 4)